# GaIr2

A relaxed structure of GaIr2 (PBE-GGA, Alexandria via LeMat-Bulk).

```
GaIr2
1.0
6.468 0.000 0.004
0.000 2.796 0.000
-3.243 0.000 9.732
Ir Ga
8 4
direct
0.483 0.500 0.366 Ir
0.174 0.500 0.950 Ir
0.826 0.500 0.050 Ir
0.483 0.000 0.866 Ir
0.826 0.000 0.550 Ir
0.174 0.000 0.450 Ir
0.517 0.000 0.134 Ir
0.517 0.500 0.634 Ir
0.157 0.500 0.690 Ga
0.843 0.500 0.310 Ga
0.157 0.000 0.190 Ga
0.843 0.000 0.810 Ga
```

Summary:
Formation energy (eV per atom): -0.170
VASP energy (eV per atom): -7.086
Calculated volume (Å³/cell): 176.05